1:
A geometry-optimized Ba3TlZn structure. Source: Alexandria via LeMat-Bulk, functional GGA-PBE.

a = 6.361 Å, b = 6.361 Å, c = 6.361 Å
α = 90.00°, β = 90.00°, γ = 90.00°
Sites, in units of the cell vectors:
Ba 0.000 0.000 0.500
Ba 0.000 0.500 0.000
Ba 0.500 0.000 0.000
Tl 0.500 0.500 0.500
Zn 0.000 0.000 0.000

DOS at the Fermi energy (states/eV per atom): 1.29
Density (g/cm³): 4.40

---

2:
A geometry-optimized Ba3TlZn structure. Source: Alexandria via LeMat-Bulk, functional GGA-PBE.

a = 9.744 Å, b = 9.744 Å, c = 10.292 Å
α = 93.15°, β = 93.15°, γ = 27.22°
Sites, in units of the cell vectors:
Ba 0.000 0.000 0.000
Ba 0.155 0.155 0.371
Ba 0.369 0.369 0.258
Ba 0.524 0.524 0.628
Ba 0.710 0.710 0.995
Ba 0.813 0.813 0.635
Tl 0.167 0.167 0.734
Tl 0.356 0.356 0.896
Zn 0.539 0.539 0.259
Zn 0.985 0.985 0.369

DOS at the Fermi energy (states/eV per atom): 1.00
Density (g/cm³): 5.07

---

3:
A geometry-optimized Ba3TlZn structure. Source: Alexandria via LeMat-Bulk, functional GGA-PBE.

a = 12.101 Å, b = 12.101 Å, c = 6.023 Å
α = 90.00°, β = 90.00°, γ = 151.16°
Sites, in units of the cell vectors:
Ba 0.077 0.923 0.750
Ba 0.249 0.751 0.750
Ba 0.422 0.578 0.750
Ba 0.578 0.422 0.250
Ba 0.751 0.249 0.250
Ba 0.923 0.077 0.250
Tl 0.159 0.841 0.250
Tl 0.841 0.159 0.750
Zn 0.341 0.659 0.250
Zn 0.659 0.341 0.750

DOS at the Fermi energy (states/eV per atom): 0.68
Density (g/cm³): 5.32

---

Result of the stability comparison: 1 is the least stable of them.

---

1:
A geometry-optimized Ba6Tl3Zn structure. Source: Alexandria via LeMat-Bulk, functional GGA-PBE.

a = 10.542 Å, b = 6.049 Å, c = 13.931 Å
α = 90.00°, β = 110.87°, γ = 90.00°
Sites, in units of the cell vectors:
Ba 0.019 0.250 0.412
Ba 0.163 0.750 0.163
Ba 0.255 0.250 0.997
Ba 0.346 0.750 0.831
Ba 0.372 0.250 0.358
Ba 0.382 0.250 0.643
Ba 0.618 0.750 0.357
Ba 0.628 0.750 0.642
Ba 0.654 0.250 0.169
Ba 0.745 0.750 0.003
Ba 0.837 0.250 0.837
Ba 0.981 0.750 0.588
Tl 0.023 0.750 0.867
Tl 0.091 0.250 0.721
Tl 0.268 0.750 0.471
Tl 0.732 0.250 0.529
Tl 0.909 0.750 0.279
Tl 0.977 0.250 0.133
Zn 0.458 0.750 0.097
Zn 0.542 0.250 0.903

DOS at the Fermi energy (states/eV per atom): 0.79
Density (g/cm³): 6.01

---

2:
A geometry-optimized Ba6Tl3Zn structure. Source: Alexandria via LeMat-Bulk, functional GGA-PBE.

a = 7.992 Å, b = 9.893 Å, c = 13.947 Å
α = 90.00°, β = 119.68°, γ = 90.00°
Sites, in units of the cell vectors:
Ba 0.079 0.169 0.434
Ba 0.079 0.331 0.934
Ba 0.300 0.682 0.430
Ba 0.300 0.818 0.930
Ba 0.407 0.055 0.250
Ba 0.407 0.445 0.750
Ba 0.593 0.555 0.250
Ba 0.593 0.945 0.750
Ba 0.700 0.182 0.070
Ba 0.700 0.318 0.570
Ba 0.921 0.669 0.066
Ba 0.921 0.831 0.566
Tl 0.000 0.000 0.000
Tl 0.000 0.500 0.500
Tl 0.174 0.120 0.748
Tl 0.174 0.380 0.248
Tl 0.826 0.620 0.752
Tl 0.826 0.880 0.252
Zn 0.500 0.000 0.500
Zn 0.500 0.500 0.000

DOS at the Fermi energy (states/eV per atom): 1.62
Density (g/cm³): 5.21

---

Result of the stability comparison: 2 is the least stable of them.

---

1:
A geometry-optimized BaTl4Zn structure. Source: Alexandria via LeMat-Bulk, functional GGA-PBE.

a = 9.692 Å, b = 9.692 Å, c = 7.923 Å
α = 90.00°, β = 90.00°, γ = 150.88°
Sites, in units of the cell vectors:
Ba 0.123 0.877 0.750
Ba 0.877 0.123 0.250
Tl 0.069 0.931 0.250
Tl 0.319 0.681 0.548
Tl 0.319 0.681 0.952
Tl 0.500 0.500 0.000
Tl 0.500 0.500 0.500
Tl 0.681 0.319 0.048
Tl 0.681 0.319 0.452
Tl 0.931 0.069 0.750
Zn 0.224 0.776 0.250
Zn 0.776 0.224 0.750

DOS at the Fermi energy (states/eV per atom): 0.35
Density (g/cm³): 9.36

---

2:
A geometry-optimized BaTl4Zn structure. Source: Alexandria via LeMat-Bulk, functional GGA-PBE.

a = 6.530 Å, b = 6.530 Å, c = 6.530 Å
α = 60.00°, β = 60.00°, γ = 60.00°
Sites, in units of the cell vectors:
Ba 0.000 0.000 0.000
Tl 0.127 0.624 0.624
Tl 0.624 0.127 0.624
Tl 0.624 0.624 0.127
Tl 0.624 0.624 0.624
Zn 0.250 0.250 0.250

DOS at the Fermi energy (states/eV per atom): 0.58
Density (g/cm³): 8.60

---

Result of the stability comparison: 2 is the least stable of them.

---

1:
A geometry-optimized Ba2TlZn2 structure. Source: Alexandria via LeMat-Bulk, functional GGA-PBE.

a = 6.441 Å, b = 6.441 Å, c = 9.243 Å
α = 102.51°, β = 102.51°, γ = 60.88°
Sites, in units of the cell vectors:
Ba 0.003 0.704 0.854
Ba 0.296 0.997 0.646
Ba 0.704 0.003 0.354
Ba 0.997 0.296 0.146
Tl 0.357 0.643 0.250
Tl 0.643 0.357 0.750
Zn 0.210 0.498 0.507
Zn 0.498 0.210 0.007
Zn 0.502 0.790 0.993
Zn 0.790 0.502 0.493

DOS at the Fermi energy (states/eV per atom): 0.87
Density (g/cm³): 6.25

---

2:
A geometry-optimized Ba2TlZn2 structure. Source: Alexandria via LeMat-Bulk, functional GGA-PBE.

a = 6.513 Å, b = 6.513 Å, c = 8.509 Å
α = 90.00°, β = 90.00°, γ = 90.00°
Sites, in units of the cell vectors:
Ba 0.000 0.500 0.250
Ba 0.000 0.500 0.750
Ba 0.500 0.000 0.250
Ba 0.500 0.000 0.750
Tl 0.000 0.000 0.000
Tl 0.500 0.500 0.500
Zn 0.000 0.000 0.357
Zn 0.000 0.000 0.643
Zn 0.500 0.500 0.143
Zn 0.500 0.500 0.857

DOS at the Fermi energy (states/eV per atom): 0.70
Density (g/cm³): 5.61

---

Result of the stability comparison: 2 is the least stable of them.